Entry 1:
First-principles (PBEsol) data for CoMo2I2 after structural relaxation, as listed in Alexandria via LeMat-Bulk.

## Properties
The total magnetic moment is 1.745 μB per formula unit. Its uncorrected formation energy is 1203 meV per atom.

The structure in POSCAR format:
```
CoMo2I2
1.0
-2.685 2.685 3.669
2.685 -2.685 3.669
2.685 2.685 -3.669
Co Mo I
1 2 2
Direct
0.000 0.000 0.000 Co
0.352 0.352 0.000 Mo
0.648 0.648 0.000 Mo
0.250 0.750 0.500 I
0.750 0.250 0.500 I
```

---

Entry 2:
First-principles (PBEsol) data for TeIrI2O after structural relaxation, as listed in Alexandria via LeMat-Bulk.

## Properties
The total magnetic moment is 1.703 μB per formula unit. The offset from the most stable computed form is 0.0 kJ per mole of atoms. Its uncorrected formation energy is 963 meV per atom.

The structure in POSCAR format:
```
TeIrI2O
1.0
5.773 0.000 0.000
0.000 5.773 0.000
0.000 0.000 3.910
Te Ir I O
1 1 2 1
Direct
0.000 0.000 0.000 Te
0.500 0.500 0.500 Ir
0.000 0.500 0.000 I
0.500 0.000 0.000 I
0.000 0.000 0.500 O
```

---

| no. | V (A^3/atom) |
| --- | --- |
| 1 | 21.169 |
| 2 | 26.065 |